[1]
Computed, not measured: a relaxed structure of Sm4Ge2Te at the GGA-PBE level of DFT. Values from VASP.

```
&SYSTEM
  ibrav = 0, nat = 14, ntyp = 3
/
ATOMIC_SPECIES
Sm 150.36 Sm.upf
Ge 72.64 Ge.upf
Te 127.60 Te.upf
CELL_PARAMETERS angstrom
-4.5955 4.5955 4.5212
4.5955 -4.5955 4.5212
4.5955 4.5955 -4.5212
ATOMIC_POSITIONS crystal
Sm 0.1103 0.5050 0.7466
Sm 0.1137 0.0084 0.7534
Sm 0.2550 0.3603 0.2466
Sm 0.4950 0.2416 0.6053
Sm 0.6363 0.8897 0.3947
Sm 0.6397 0.8863 0.8947
Sm 0.7584 0.3637 0.2534
Sm 0.9916 0.7450 0.1053
Ge 0.0097 0.1250 0.3847
Ge 0.3750 0.9903 0.1153
Ge 0.7403 0.6250 0.6153
Ge 0.8750 0.2597 0.8847
Te 0.2500 0.7500 0.5000
Te 0.5000 0.5000 0.0000
```

Its raw formation energy is -959 meV/atom. Its space group is I-42d, No. 122. Its energy above the lowest structure with this stoichiometry is 0 meV per atom.

=====

[2]
Computed, not measured: a relaxed structure of CsNaSbPd at the GGA-PBE level of DFT. Values from VASP.

```
&SYSTEM
  ibrav = 0, nat = 4, ntyp = 4
/
ATOMIC_SPECIES
Cs 132.91 Cs.upf
Na 22.99 Na.upf
Sb 121.76 Sb.upf
Pd 106.42 Pd.upf
CELL_PARAMETERS angstrom
2.3685 1.3675 7.1453
-2.3685 1.3675 7.1453
0.0000 -2.7349 7.1453
ATOMIC_POSITIONS crystal
Cs 0.0000 0.0000 0.0000
Na 0.1886 0.1886 0.1886
Sb 0.7903 0.7903 0.7903
Pd 0.4619 0.4619 0.4619
```

Its raw formation energy is -363 meV/atom. Its space group is R3m, No. 160.

=====

[3]
Computed, not measured: a relaxed structure of PaAlPd14 at the GGA-PBE level of DFT. Values from VASP.

```
&SYSTEM
  ibrav = 0, nat = 16, ntyp = 3
/
ATOMIC_SPECIES
Pa 231.04 Pa.upf
Al 26.98 Al.upf
Pd 106.42 Pd.upf
CELL_PARAMETERS angstrom
5.7470 0.0000 0.0000
0.0000 5.7470 0.0000
0.0000 0.0000 7.7165
ATOMIC_POSITIONS crystal
Pa 0.0000 0.0000 0.0000
Al 0.5000 0.5000 0.0000
Pd 0.0000 0.0000 0.5000
Pd 0.0000 0.5000 0.0000
Pd 0.0000 0.5000 0.5000
Pd 0.2535 0.2535 0.2466
Pd 0.2535 0.2535 0.7534
Pd 0.2535 0.7465 0.2466
Pd 0.2535 0.7465 0.7534
Pd 0.5000 0.0000 0.0000
Pd 0.5000 0.0000 0.5000
Pd 0.5000 0.5000 0.5000
Pd 0.7465 0.2535 0.2466
Pd 0.7465 0.2535 0.7534
Pd 0.7465 0.7465 0.2466
Pd 0.7465 0.7465 0.7534
```

Its space group is P4/mmm, No. 123.

=====

Across the entries above, electronic total energy takes the values -5.42 -3.23 -5.78 eV/atom, respectively.